(1)
## InTcNiAs2 (PBE)

Data for crystalline InTcNiAs2 at its relaxed geometry.

a = 4.7599 Å, b = 4.7599 Å, c = 4.7921 Å
α = 90.00°, β = 90.00°, γ = 90.00°
With the nearest neighbours (Å) after each atom.
Element x y z (fractional)
In (0.0000, 0.0000, 0.0000)  4 Ni 3.37, 8 As 3.38
Tc (0.5000, 0.5000, 0.5000)  4 As 2.38, 2 Ni 2.40
Ni (0.5000, 0.5000, 0.0000)  2 Tc 2.40
As (0.0000, 0.5000, 0.5000)  2 Tc 2.38
As (0.5000, 0.0000, 0.5000)  2 Tc 2.38

Properties
Total DFT energy (no corrections) (eV/atom): -5.163
Magnetization (μB/atom): 0.00
Formation energy (eV per atom): 0.474
Density of states at the Fermi level (states/eV/f.u.): 4.2


(2)
## Li3LaHg (PBE)

Data for crystalline Li3LaHg at its relaxed geometry.

a = 4.9908 Å, b = 4.9908 Å, c = 4.9908 Å
α = 90.00°, β = 90.00°, γ = 90.00°
With the nearest neighbours (Å) after each atom.
Element x y z (fractional)
Li (0.0000, 0.0000, 0.5000)  2 Hg 2.50
Li (0.0000, 0.5000, 0.0000)  2 Hg 2.50
Li (0.5000, 0.0000, 0.0000)  2 Hg 2.50
La (0.5000, 0.5000, 0.5000)  12 Li 3.53
Hg (0.0000, 0.0000, 0.0000)  6 Li 2.50

Properties
Total DFT energy (no corrections) (eV/atom): -2.184
Magnetization (μB/atom): 0.06
Formation energy (eV per atom): 0.010
Density of states at the Fermi level (states/eV/f.u.): 5.1


(3)
## Cs2NpBr2F4 (PBE)

Data for crystalline Cs2NpBr2F4 at its relaxed geometry.

a = 7.2974 Å, b = 7.2974 Å, c = 7.2974 Å
α = 118.49°, β = 118.49°, γ = 92.64°
With the nearest neighbours (Å) after each atom.
Element x y z (fractional)
Cs (0.2500, 0.7500, 0.5000)  8 F 3.69, 4 Br 3.75
Cs (0.7500, 0.2500, 0.5000)  8 F 3.69, 4 Br 3.75
Np (0.0000, 0.0000, 0.0000)  4 F 2.12
Br (0.2835, 0.2835, 0.0000)  1 Np 2.86
Br (0.7165, 0.7165, 0.0000)  1 Np 2.86
F (0.2009, 0.2009, 0.4019)  1 Np 2.12
F (0.2009, 0.7991, 0.0000)  1 Np 2.12
F (0.7991, 0.2009, 0.0000)  1 Np 2.12
F (0.7991, 0.7991, 0.5981)  1 Np 2.12

Properties
Total DFT energy (no corrections) (eV/atom): -5.512
Magnetization (μB/atom): 0.33
Density of states at the Fermi level (states/eV/f.u.): 6.7


(4)
## Sr7LiN2 (PBE)

Data for crystalline Sr7LiN2 at its relaxed geometry.

a = 10.6180 Å, b = 10.6180 Å, c = 4.3069 Å
α = 90.00°, β = 90.00°, γ = 127.94°
With the nearest neighbours (Å) after each atom.
Element x y z (fractional)
Sr (0.0000, 0.0000, 0.0000)  2 N 2.55
Sr (0.1434, 0.3999, 0.0000)  1 N 2.53
Sr (0.2037, 0.7963, 0.5000)  2 N 2.54
Sr (0.3999, 0.1434, 0.0000)  1 N 2.53
Sr (0.6001, 0.8566, 0.0000)  1 N 2.53
Sr (0.7963, 0.2037, 0.5000)  2 N 2.54
Sr (0.8566, 0.6001, 0.0000)  1 N 2.53
Li (0.5000, 0.5000, 0.5000)  8 Sr 3.89, 2 Li 4.31
N (0.1335, 0.8665, 0.0000)  5 Sr 2.53-2.55
N (0.8665, 0.1335, 0.0000)  5 Sr 2.53-2.55

Properties
Total DFT energy (no corrections) (eV/atom): -3.246
Magnetization (μB/atom): 0.00
Density of states at the Fermi level (states/eV/f.u.): 7.3


(5)
## Ba3AlN3 (PBE)

Data for crystalline Ba3AlN3 at its relaxed geometry.

a = 7.8949 Å, b = 6.7861 Å, c = 10.7938 Å
α = 90.00°, β = 96.05°, γ = 90.00°
With the nearest neighbours (Å) after each atom.
Element x y z (fractional)
Ba (0.0365, 0.1452, 0.1585)  5 N 2.75-3.00
Ba (0.0365, 0.3548, 0.6585)  5 N 2.75-3.00
Ba (0.3394, 0.1788, 0.9389)  3 N 2.63-2.71
Ba (0.3394, 0.3212, 0.4389)  3 N 2.63-2.71
Ba (0.3701, 0.6778, 0.7936)  4 N 2.76-2.98
Ba (0.3701, 0.8222, 0.2936)  4 N 2.76-2.98
Ba (0.6299, 0.1778, 0.7064)  4 N 2.76-2.98
Ba (0.6299, 0.3222, 0.2064)  4 N 2.76-2.98
Ba (0.6606, 0.6788, 0.5611)  3 N 2.63-2.71
Ba (0.6606, 0.8212, 0.0611)  3 N 2.63-2.71
Ba (0.9635, 0.6452, 0.3415)  5 N 2.75-3.00
Ba (0.9635, 0.8548, 0.8415)  5 N 2.75-3.00
Al (0.1458, 0.5835, 0.0662)  4 N 1.95-2.02
Al (0.1458, 0.9165, 0.5662)  4 N 1.95-2.02
Al (0.8542, 0.0835, 0.4338)  4 N 1.95-2.02
Al (0.8542, 0.4165, 0.9338)  4 N 1.95-2.02
N (0.1020, 0.0487, 0.4059)  2 Al 1.95-2.02
N (0.1020, 0.4513, 0.9059)  2 Al 1.95-2.02
N (0.2346, 0.6492, 0.5480)  1 Al 1.96
N (0.2346, 0.8508, 0.0480)  1 Al 1.96
N (0.2882, 0.0507, 0.6998)  1 Al 1.96
N (0.2882, 0.4493, 0.1998)  1 Al 1.96
N (0.7118, 0.5507, 0.8002)  1 Al 1.96
N (0.7118, 0.9493, 0.3002)  1 Al 1.96
N (0.7654, 0.1492, 0.9520)  1 Al 1.96
N (0.7654, 0.3508, 0.4520)  1 Al 1.96
N (0.8980, 0.5487, 0.0941)  2 Al 1.95-2.02
N (0.8980, 0.9513, 0.5941)  2 Al 1.95-2.02

Properties
Total DFT energy (no corrections) (eV/atom): -5.574
Magnetization (μB/atom): 0.00


(6)
## Nb3CoI (PBE)

Data for crystalline Nb3CoI at its relaxed geometry.

a = 4.7011 Å, b = 4.7011 Å, c = 4.7011 Å
α = 90.00°, β = 90.00°, γ = 90.00°
With the nearest neighbours (Å) after each atom.
Element x y z (fractional)
Nb (0.0000, 0.0000, 0.5000)  2 Co 2.35
Nb (0.0000, 0.5000, 0.0000)  2 Co 2.35
Nb (0.5000, 0.0000, 0.0000)  2 Co 2.35
Co (0.0000, 0.0000, 0.0000)  6 Nb 2.35
I (0.5000, 0.5000, 0.5000)  12 Nb 3.32

Properties
Total DFT energy (no corrections) (eV/atom): -6.913
Magnetization (μB/atom): 0.00
Density of states at the Fermi level (states/eV/f.u.): 7.8


(7)
## Ca2TaSe (PBE)

Data for crystalline Ca2TaSe at its relaxed geometry.

a = 3.4737 Å, b = 3.4737 Å, c = 8.7022 Å
α = 90.00°, β = 90.00°, γ = 90.00°
With the nearest neighbours (Å) after each atom.
Element x y z (fractional)
Ca (0.0000, 0.0000, 0.0000)  1 Se 3.31, 4 Ta 3.32, 4 Ca 3.47
Ca (0.5000, 0.5000, 0.3708)  1 Ta 3.25, 4 Se 3.27, 4 Ca 3.47
Ta (0.5000, 0.5000, 0.7441)  4 Se 2.68
Se (0.0000, 0.0000, 0.6196)  4 Ta 2.68

Properties
Total DFT energy (no corrections) (eV/atom): -5.014
Magnetization (μB/atom): 0.00
Density of states at the Fermi level (states/eV/f.u.): 3.2


(8)
## Cs2Ga3 (PBE)

Data for crystalline Cs2Ga3 at its relaxed geometry.

a = 7.4922 Å, b = 7.4922 Å, c = 7.7602 Å
α = 104.78°, β = 104.78°, γ = 66.10°
With the nearest neighbours (Å) after each atom.
Element x y z (fractional)
Cs (0.1183, 0.2398, 0.1696)  8 Ga 3.76-4.20, 2 Cs 4.01
Cs (0.2398, 0.1183, 0.6696)  8 Ga 3.76-4.20, 2 Cs 4.01
Cs (0.7602, 0.8817, 0.3304)  8 Ga 3.76-4.20, 2 Cs 4.01
Cs (0.8817, 0.7602, 0.8304)  8 Ga 3.76-4.20, 2 Cs 4.01
Ga (0.3188, 0.5762, 0.5569)  4 Ga 2.66-2.88
Ga (0.3510, 0.6490, 0.2500)  4 Ga 2.66-2.69
Ga (0.4238, 0.6812, 0.9431)  4 Ga 2.66-2.88
Ga (0.5762, 0.3188, 0.0569)  4 Ga 2.66-2.88
Ga (0.6490, 0.3510, 0.7500)  4 Ga 2.66-2.69
Ga (0.6812, 0.4238, 0.4431)  4 Ga 2.66-2.88

Properties
Total DFT energy (no corrections) (eV/atom): -2.231
Magnetization (μB/atom): 0.00
Formation energy (eV per atom): -0.074
Density of states at the Fermi level (states/eV/f.u.): 1.4


What is the formula in the sixth record?
Nb3CoI


Which of these has the highest total DFT energy (no corrections)?
Li3LaHg


Please write out number 8 again, unchanged.
## Cs2Ga3 (PBE)

Data for crystalline Cs2Ga3 at its relaxed geometry.

a = 7.4922 Å, b = 7.4922 Å, c = 7.7602 Å
α = 104.78°, β = 104.78°, γ = 66.10°
With the nearest neighbours (Å) after each atom.
Element x y z (fractional)
Cs (0.1183, 0.2398, 0.1696)  8 Ga 3.76-4.20, 2 Cs 4.01
Cs (0.2398, 0.1183, 0.6696)  8 Ga 3.76-4.20, 2 Cs 4.01
Cs (0.7602, 0.8817, 0.3304)  8 Ga 3.76-4.20, 2 Cs 4.01
Cs (0.8817, 0.7602, 0.8304)  8 Ga 3.76-4.20, 2 Cs 4.01
Ga (0.3188, 0.5762, 0.5569)  4 Ga 2.66-2.88
Ga (0.3510, 0.6490, 0.2500)  4 Ga 2.66-2.69
Ga (0.4238, 0.6812, 0.9431)  4 Ga 2.66-2.88
Ga (0.5762, 0.3188, 0.0569)  4 Ga 2.66-2.88
Ga (0.6490, 0.3510, 0.7500)  4 Ga 2.66-2.69
Ga (0.6812, 0.4238, 0.4431)  4 Ga 2.66-2.88

Properties
Total DFT energy (no corrections) (eV/atom): -2.231
Magnetization (μB/atom): 0.00
Formation energy (eV per atom): -0.074
Density of states at the Fermi level (states/eV/f.u.): 1.4


What is the formula in the sixth record?
Nb3CoI